Below is a relaxed LaAlCr2 crystal, with properties calculated at the GGA-PBE level.

Results
E_form ... 1.8 eV per formula unit
Symmetry ... No. 35

a = 2.8949 Å, b = 2.8949 Å, c = 9.1977 Å
α = 90.00°, β = 90.00°, γ = 114.78°
Atoms (fractional coordinates):
Cr (0.5000, 0.5000, 0.1947)
Al (0.5000, 0.5000, 0.7966)
Cr (0.0000, 0.0000, 0.0234)
La (0.0000, 0.0000, 0.4853)

Below is a relaxed V2SbAu crystal, with properties calculated at the GGA-PBE level.

Results
Symmetry ... No. 123
Raw formation energy ... 115.0 meV per atom

a = 4.1719 Å, b = 3.9919 Å, c = 3.9919 Å
α = 90.00°, β = 90.00°, γ = 90.00°
Site moments in Bohr magnetons follow the coordinates.
Atoms (fractional coordinates):
V (0.0000, 0.0000, 0.5000)  0.34
V (0.0000, 0.5000, 0.0000)  0.34
Au (0.5000, 0.0000, 0.0000)  0.00
Sb (0.5000, 0.5000, 0.5000)  -0.01

Below is a relaxed LiTb3H3 crystal, with properties calculated at the GGA-PBE level.

Results
Symmetry ... No. 223

a = 6.3573 Å, b = 6.3573 Å, c = 6.3573 Å
α = 90.00°, β = 90.00°, γ = 90.00°
Site moments in Bohr magnetons follow the coordinates.
Atoms (fractional coordinates):
H (0.0000, 0.5000, 0.7500)  0.00
Tb (0.2500, 0.5000, 0.0000)  0.49
Li (0.5000, 0.5000, 0.5000)  0.06
H (0.0000, 0.5000, 0.2500)  0.00
H (0.5000, 0.2500, 0.0000)  0.00
Tb (0.5000, 0.0000, 0.7500)  0.49
H (0.7500, 0.0000, 0.5000)  0.00
Li (0.0000, 0.0000, 0.0000)  0.06
H (0.5000, 0.7500, 0.0000)  0.00
Tb (0.0000, 0.2500, 0.5000)  0.49
Tb (0.7500, 0.5000, 0.0000)  0.49
Tb (0.0000, 0.7500, 0.5000)  0.49
Tb (0.5000, 0.0000, 0.2500)  0.49
H (0.2500, 0.0000, 0.5000)  0.00

Below is a relaxed Hf2ZnCdRu crystal, with properties calculated at the GGA-PBE level.

Results
E_form ... 3.6 eV per formula unit
Symmetry ... No. 123

a = 4.8969 Å, b = 4.5231 Å, c = 4.8969 Å
α = 90.00°, β = 90.00°, γ = 90.00°
Atoms (fractional coordinates):
Hf (0.5000, 0.0000, 0.0000)
Zn (0.0000, 0.0000, 0.0000)
Cd (0.5000, 0.5000, 0.5000)
Ru (0.0000, 0.5000, 0.0000)
Hf (0.0000, 0.0000, 0.5000)

Below is a relaxed Sm2Pd3Pb crystal, with properties calculated at the GGA-PBE level.

Results
E_form ... -4.0 eV per formula unit
Symmetry ... No. 15

a = 5.7447 Å, b = 8.8379 Å, c = 6.4887 Å
α = 110.10°, β = 116.27°, γ = 90.00°
Atoms (fractional coordinates):
Sm (0.6859, 0.0945, 0.3806)
Pd (0.2841, 0.7500, 0.0000)
Pb (0.2202, 0.2500, 0.0000)
Pd (0.8704, 0.4357, 0.7463)
Pd (0.1241, 0.0643, 0.2537)
Pd (0.1296, 0.5643, 0.2537)
Sm (0.3141, 0.9055, 0.6194)
Pd (0.8759, 0.9357, 0.7463)
Pb (0.7798, 0.7500, 0.0000)
Sm (0.6947, 0.5945, 0.3806)
Pd (0.7159, 0.2500, 0.0000)
Sm (0.3053, 0.4055, 0.6194)

Below is a relaxed KHgPt2 crystal, with properties calculated at the GGA-PBE level.

Results
E_form ... 0.7 eV per formula unit
Symmetry ... No. 47

a = 2.9424 Å, b = 4.2457 Å, c = 7.0391 Å
α = 90.00°, β = 90.00°, γ = 90.00°
Atoms (fractional coordinates):
K (0.5000, 0.5000, 0.7500)
Pt (0.0000, 0.0000, 0.0579)
Pt (0.0000, 0.0000, 0.4421)
Hg (0.5000, 0.5000, 0.2500)

Below is a relaxed CrSnSe2 crystal, with properties calculated at the GGA-PBE level.

Results
Symmetry ... No. 160
Raw formation energy ... -127.0 meV per atom

a = 9.0265 Å, b = 9.0265 Å, c = 9.0265 Å
α = 23.31°, β = 23.31°, γ = 23.31°
Site moments in Bohr magnetons follow the coordinates.
Atoms (fractional coordinates):
Se (0.1240, 0.1240, 0.1240)  -0.02
Cr (0.9456, 0.9456, 0.9456)  3.03
Se (0.6598, 0.6598, 0.6598)  -0.18
Sn (0.5217, 0.5217, 0.5217)  -0.03

Below is a relaxed SmOF3 crystal, with properties calculated at the GGA-PBE level.

Results
Symmetry ... No. 14
Raw formation energy ... -2669.0 meV per atom

a = 7.3929 Å, b = 6.1193 Å, c = 7.2227 Å
α = 97.31°, β = 90.00°, γ = 90.00°
Site moments in Bohr magnetons follow the coordinates.
Atoms (fractional coordinates):
Sm (0.7500, 0.5884, 0.4752)  -0.01
Sm (0.7500, 0.0884, 0.9752)  -0.01
Sm (0.2500, 0.4116, 0.5248)  -0.01
O (0.7484, 0.4219, 0.7836)  1.36
O (0.2484, 0.0781, 0.7164)  1.36
F (0.5530, 0.8173, 0.0580)  0.15
F (0.0530, 0.6827, 0.4420)  0.15
Sm (0.2500, 0.9116, 0.0248)  -0.01
O (0.7516, 0.9219, 0.2836)  1.36
F (0.4471, 0.6845, 0.4447)  0.15
F (0.9470, 0.3173, 0.5580)  0.15
F (0.2513, 0.6111, 0.8081)  0.02
F (0.4470, 0.1827, 0.9420)  0.15
O (0.2516, 0.5781, 0.2164)  1.36
F (0.5529, 0.3155, 0.5553)  0.15
F (0.2487, 0.1111, 0.3081)  0.02
F (0.0529, 0.1845, 0.9447)  0.15
F (0.9471, 0.8155, 0.0553)  0.15
F (0.7513, 0.8889, 0.6919)  0.02
F (0.7487, 0.3889, 0.1919)  0.02

Number 1: total moment 0.000 μB per atom, total DFT energy (no corrections) -0.48078 Ry per atom. Number 2: total moment 0.189 μB per atom, total DFT energy (no corrections) -0.46262 Ry per atom. Number 3: total moment 0.337 μB per atom, total DFT energy (no corrections) -0.28825 Ry per atom. Number 4: total moment 0.000 μB per atom, total DFT energy (no corrections) -0.40845 Ry per atom. Number 5: total moment 0.000 μB per atom, total DFT energy (no corrections) -0.40058 Ry per atom. Number 6: total moment 0.000 μB per atom, total DFT energy (no corrections) -0.23509 Ry per atom. Number 7: total moment 0.747 μB per atom, total DFT energy (no corrections) -0.38777 Ry per atom. Number 8: total moment 0.400 μB per atom, total DFT energy (no corrections) -0.42094 Ry per atom.